This record from OQMD describes a relaxed structure of GdPPtO. The functional is PBE.

Calculated density, g/cm3: 9.5
M_tot, μB per formula unit: 0.00
Calculated total energy, eV per cell: -53.92

Lattice parameters (Å, degrees): 5.272 3.792 6.962 90.00 90.00 90.00
Space group Pmc2_1 (No. 26)
Asymmetric unit:
Gd 0.000 0.158 0.000
P 0.500 0.301 0.661
Pt 0.500 0.181 0.343
O 0.000 0.450 0.277

***

This record from OQMD describes a relaxed structure of GdRePO. The functional is PBE.

Calculated density, g/cm3: 9.3
M_tot, μB per formula unit: 0.00
Calculated total energy, eV per cell: -63.29

Lattice parameters (Å, degrees): 4.067 6.123 5.581 90.00 90.00 90.00
Space group Pmc2_1 (No. 26)
Asymmetric unit:
Gd 0.000 0.160 0.000
Re 0.500 0.431 0.707
P 0.000 0.318 0.501
O 0.500 0.274 0.033

***

This record from OQMD describes a relaxed structure of GdRePO. The functional is PBE.

Calculated density, g/cm3: 10.6
M_tot, μB per formula unit: 0.04
Calculated total energy, eV per cell: -65.28

Lattice parameters (Å, degrees): 4.364 4.393 6.387 90.00 90.00 90.00
Space group Pmc2_1 (No. 26)
Asymmetric unit:
Gd 0.000 0.189 0.000
Re 0.500 0.342 0.351
P 0.500 0.161 0.699
O 0.000 0.331 0.346

***

This record from OQMD describes a relaxed structure of GdRePO. The functional is PBE.

Calculated density, g/cm3: 10.0
M_tot, μB per formula unit: 0.00
Calculated total energy, eV per cell: -69.06

Lattice parameters (Å, degrees): 3.929 3.929 8.402 90.00 90.00 90.00
Space group P4/nmm (No. 129, origin choice 2)
Asymmetric unit:
Gd 0.250 0.250 0.135
Re 0.250 0.750 0.500
P 0.250 0.250 0.666
O 0.250 0.750 0.000

***

This record from OQMD describes a relaxed structure of GdRePO. The functional is PBE.

Calculated density, g/cm3: 10.6
M_tot, μB per formula unit: 0.03
Calculated total energy, eV per cell: -54.72

Lattice parameters (Å, degrees): 4.284 4.284 6.689 90.00 90.00 90.00
Space group P4/nmm (No. 129, origin choice 2)
Asymmetric unit:
Gd 0.250 0.750 0.000
Re 0.250 0.250 0.378
P 0.250 0.250 0.727
O 0.250 0.750 0.500

***

This record from OQMD describes a relaxed structure of GdSbPO. The functional is PBE.

Calculated density, g/cm3: 6.9
M_tot, μB per formula unit: 0.00
Calculated total energy, eV per cell: -46.00

Lattice parameters (Å, degrees): 5.488 5.488 5.230 90.00 90.00 90.00
Space group P4/nmm (No. 129, origin choice 2)
Asymmetric unit:
Gd 0.250 0.750 0.000
Sb 0.250 0.250 0.498
P 0.250 0.250 0.996
O 0.250 0.750 0.500

***

This record from OQMD describes a relaxed structure of GdSbPO. The functional is PBE.

Calculated density, g/cm3: 6.6
M_tot, μB per formula unit: 0.01
Calculated total energy, eV per cell: -48.74

Lattice parameters (Å, degrees): 4.057 4.057 10.041 90.00 90.00 90.00
Space group P4/nmm (No. 129, origin choice 2)
Asymmetric unit:
Gd 0.250 0.250 0.106
Sb 0.250 0.750 0.500
P 0.250 0.250 0.726
O 0.250 0.750 0.000

***

This record from OQMD describes a relaxed structure of GdSbPO. The functional is PBE.

Calculated density, g/cm3: 6.8
M_tot, μB per formula unit: 0.00
Calculated total energy, eV per cell: -48.18

Lattice parameters (Å, degrees): 4.272 6.059 6.162 90.00 90.00 90.00
Space group Pmc2_1 (No. 26)
Asymmetric unit:
Gd 0.000 0.223 0.000
Sb 0.500 0.375 0.402
P 0.500 0.073 0.706
O 0.000 0.434 0.319

***

This record from OQMD describes a relaxed structure of GdSbPO. The functional is PBE.

Calculated density, g/cm3: 5.2
M_tot, μB per formula unit: 0.06
Calculated total energy, eV per cell: -47.77

Lattice parameters (Å, degrees): 3.723 6.825 8.187 90.00 90.00 90.00
Space group Pmc2_1 (No. 26)
Asymmetric unit:
Gd 0.000 0.199 0.000
Sb 0.500 0.267 0.541
P 0.000 0.184 0.347
O 0.500 0.333 0.952

***

This record from OQMD describes a relaxed structure of GdSiPO. The functional is PBE.

Calculated density, g/cm3: 5.9
M_tot, μB per formula unit: 0.00
Calculated total energy, eV per cell: -52.62

Lattice parameters (Å, degrees): 4.300 4.300 7.021 90.00 90.00 90.00
Space group P4/nmm (No. 129, origin choice 2)
Asymmetric unit:
Gd 0.250 0.250 0.130
Si 0.250 0.750 0.500
P 0.250 0.250 0.639
O 0.250 0.750 0.000